# 1
A relaxed structure of Zr2Ta4Ge3C3. Source: OQMD via LeMat-Bulk, functional PBE.

* raw total energy: -226.608 eV per cell
* volume: 15.00 Å³/atom
* space-group type: C2/c (15)

a = 5.607 Å, b = 5.607 Å, c = 13.623 Å
α = 101.98°, β = 101.98°, γ = 59.97°
Fractional positions:
Ta1 0.799 0.975 0.912
Zr1 0.629 0.465 0.398
Ge1 0.954 0.046 0.250
C1 0.670 0.161 0.500
C2 0.839 0.330 0.000
Ge2 0.781 0.585 0.751
Ta2 0.696 0.858 0.588
Ta3 0.142 0.304 0.912
Zr2 0.465 0.629 0.898
Ge3 0.046 0.954 0.750
Ta4 0.304 0.142 0.412
Ge4 0.219 0.415 0.249
C3 0.000 0.500 0.500
Ge5 0.585 0.781 0.251
C4 0.161 0.670 0.000
Ta5 0.975 0.799 0.412
Ta6 0.201 0.025 0.088
Ge6 0.415 0.219 0.749
Zr3 0.371 0.535 0.602
Ta7 0.858 0.696 0.088
Zr4 0.535 0.371 0.102
C5 0.330 0.839 0.500
C6 0.500 0.000 0.000
Ta8 0.025 0.201 0.588

# 2
A relaxed structure of PmSc. Source: OQMD via LeMat-Bulk, functional PBE.

* raw total energy: -7.448 eV per cell
* formation energy from the elements: 3.6 eV/f.u.
* excess energy over the best structure of this formula in the dataset: 1725.0 meV per atom
* volume: 34.42 Å³/atom
* space-group type: F-43m (216)

a = 4.600 Å, b = 4.600 Å, c = 4.600 Å
α = 60.00°, β = 60.00°, γ = 60.00°
Fractional positions:
Pm1 0.000 0.000 0.000
Sc1 0.250 0.250 0.250

# 3
A relaxed structure of Hf2Mo2W. Source: OQMD via LeMat-Bulk, functional PBE.

* raw total energy: -51.044 eV per cell
* formation energy from the elements: 3.5 eV/f.u.
* volume: 18.95 Å³/atom
* space-group type: I4/mmm (139)

a = 7.840 Å, b = 7.840 Å, c = 7.840 Å
α = 153.66°, β = 153.66°, γ = 37.60°
Fractional positions:
W1 0.000 0.000 0.000
Mo1 0.750 0.250 0.500
Hf1 0.404 0.404 0.000
Hf2 0.596 0.596 0.000
Mo2 0.250 0.750 0.500

# 4
A relaxed structure of Tb2BrNCl2. Source: OQMD via LeMat-Bulk, functional PBE.

* raw total energy: -70.257 eV per cell
* excess energy over the best structure of this formula in the dataset: 7.6 meV per atom
* volume: 24.75 Å³/atom
* space-group type: C2/m (12)

a = 8.595 Å, b = 8.595 Å, c = 10.780 Å
α = 120.78°, β = 120.78°, γ = 26.00°
Fractional positions:
Cl1 0.215 0.215 0.113
N1 0.425 0.425 0.842
Tb1 0.583 0.583 0.956
Br1 0.951 0.951 0.268
Br2 0.049 0.049 0.732
Cl2 0.670 0.670 0.516
Cl3 0.785 0.785 0.887
Tb2 0.136 0.136 0.294
Tb3 0.417 0.417 0.044
N2 0.575 0.575 0.158
Tb4 0.864 0.864 0.706
Cl4 0.330 0.330 0.484

Among the records above, which one has the highest volume? PmSc